(1)
# BaNb2CoO8

A relaxed BaNb2CoO8 crystal (PBE with a Hubbard U, the Alexandria database).

Cell and atoms, written as CIF:
```
data_BaNb2CoO8
_symmetry_space_group_name_H-M 'P -1'
_symmetry_Int_Tables_number 2
_cell_length_a 5.0522
_cell_length_b 5.5036
_cell_length_c 7.5307
_cell_angle_alpha 81.00
_cell_angle_beta 84.98
_cell_angle_gamma 63.64
loop_
_symmetry_equiv_pos_as_xyz
'x,y,z'
'-x,-y,-z'
loop_
_atom_site_label
_atom_site_type_symbol
_atom_site_fract_x
_atom_site_fract_y
_atom_site_fract_z
Ba1 Ba 0.0000 0.0000 0.0000
Nb1 Nb 0.2760 0.4307 0.6565
Co1 Co 0.0000 0.0000 0.5000
O1 O 0.0310 0.2501 0.6371
O2 O 0.0412 0.2105 0.2935
O3 O 0.4037 0.7436 0.5259
O4 O 0.4189 0.2951 0.8800
```



(2)
# Ba2NbCoO6

A relaxed Ba2NbCoO6 crystal (PBE with a Hubbard U, the Alexandria database).

Cell and atoms, written as CIF:
```
data_Ba2NbCoO6
_symmetry_space_group_name_H-M 'F m -3 m'
_symmetry_Int_Tables_number 225
_symmetry_space_group_name_Hall '-F 4 2 3'
_cell_length_a 8.0624
_cell_length_b 8.0624
_cell_length_c 8.0624
_cell_angle_alpha 90.00
_cell_angle_beta 90.00
_cell_angle_gamma 90.00
loop_
_atom_site_label
_atom_site_type_symbol
_atom_site_fract_x
_atom_site_fract_y
_atom_site_fract_z
Ba1 Ba 0.2500 0.2500 0.2500
Nb1 Nb 0.0000 0.0000 0.0000
Co1 Co 0.0000 0.0000 0.5000
O1 O 0.0000 0.0000 0.2521
```



(3)
# BaPrNbCoO6

A relaxed BaPrNbCoO6 crystal (PBE with a Hubbard U, the Alexandria database).

Cell and atoms, written as CIF:
```
data_BaPrNbCoO6
_symmetry_space_group_name_H-M 'F -4 3 m'
_symmetry_Int_Tables_number 216
_symmetry_space_group_name_Hall 'F -4 2 3'
_cell_length_a 8.1102
_cell_length_b 8.1102
_cell_length_c 8.1102
_cell_angle_alpha 90.00
_cell_angle_beta 90.00
_cell_angle_gamma 90.00
loop_
_atom_site_label
_atom_site_type_symbol
_atom_site_fract_x
_atom_site_fract_y
_atom_site_fract_z
Ba1 Ba 0.0000 0.0000 0.0000
Pr1 Pr 0.0000 0.0000 0.5000
Nb1 Nb 0.2500 0.2500 0.7500
Co1 Co 0.2500 0.2500 0.2500
O1 O 0.0028 0.2500 0.7500
```



no.,electronic total energy (eV/cell)
1,-92.8
2,-287.7
3,-303.1